# 1
Below is an optimized crystal structure of Ac3SnRu, with properties calculated at the PBE-GGA level.

a b c (Å): 5.658 5.658 5.658
angles (deg): 90.00 90.00 90.00
Fractional coordinates of all 5 atoms:
1 Ac 0.000 0.000 0.500
2 Ac 0.000 0.500 0.000
3 Ac 0.500 0.000 0.000
4 Sn 0.500 0.500 0.500
5 Ru 0.000 0.000 0.000

The value obtained for the excess energy over the best structure of this formula in the dataset is 0.075 eV/atom. The symmetry is Pm-3m. Its crystal system is cubic. Its energy is -5.471 eV/atom.

=====

# 2
Below is an optimized crystal structure of Ac4SnRu, with properties calculated at the PBE-GGA level.

a b c (Å): 6.761 7.421 8.723
angles (deg): 90.00 93.91 90.00
Fractional coordinates of all 12 atoms:
1 Ac 0.092 0.250 0.086
2 Ac 0.154 0.750 0.381
3 Ac 0.403 0.503 0.784
4 Ac 0.403 0.997 0.784
5 Ac 0.597 0.003 0.216
6 Ac 0.597 0.497 0.216
7 Ac 0.846 0.250 0.619
8 Ac 0.908 0.750 0.914
9 Sn 0.301 0.250 0.452
10 Sn 0.699 0.750 0.548
11 Ru 0.311 0.750 0.067
12 Ru 0.689 0.250 0.933

The value obtained for the excess energy over the best structure of this formula in the dataset is 0.000 eV/atom. The symmetry is P2_1/m. Its crystal system is monoclinic. Its energy is -5.293 eV/atom.

=====

Q: Among the records above, which one has the highest excess energy over the best structure of this formula in the dataset?
A: Ac3SnRu

=====

Q: Number 1 is which compound?
A: Ac3SnRu

=====

What did the second record say?
Below is an optimized crystal structure of Ac4SnRu, with properties calculated at the PBE-GGA level.

a b c (Å): 6.761 7.421 8.723
angles (deg): 90.00 93.91 90.00
Fractional coordinates of all 12 atoms:
1 Ac 0.092 0.250 0.086
2 Ac 0.154 0.750 0.381
3 Ac 0.403 0.503 0.784
4 Ac 0.403 0.997 0.784
5 Ac 0.597 0.003 0.216
6 Ac 0.597 0.497 0.216
7 Ac 0.846 0.250 0.619
8 Ac 0.908 0.750 0.914
9 Sn 0.301 0.250 0.452
10 Sn 0.699 0.750 0.548
11 Ru 0.311 0.750 0.067
12 Ru 0.689 0.250 0.933

The value obtained for the excess energy over the best structure of this formula in the dataset is 0.000 eV/atom. The symmetry is P2_1/m. Its crystal system is monoclinic. Its energy is -5.293 eV/atom.

=====

What did the second record say?
Below is an optimized crystal structure of Ac4SnRu, with properties calculated at the PBE-GGA level.

a b c (Å): 6.761 7.421 8.723
angles (deg): 90.00 93.91 90.00
Fractional coordinates of all 12 atoms:
1 Ac 0.092 0.250 0.086
2 Ac 0.154 0.750 0.381
3 Ac 0.403 0.503 0.784
4 Ac 0.403 0.997 0.784
5 Ac 0.597 0.003 0.216
6 Ac 0.597 0.497 0.216
7 Ac 0.846 0.250 0.619
8 Ac 0.908 0.750 0.914
9 Sn 0.301 0.250 0.452
10 Sn 0.699 0.750 0.548
11 Ru 0.311 0.750 0.067
12 Ru 0.689 0.250 0.933

The value obtained for the excess energy over the best structure of this formula in the dataset is 0.000 eV/atom. The symmetry is P2_1/m. Its crystal system is monoclinic. Its energy is -5.293 eV/atom.